# 1
{
  "formula": "Ba2SrCd2",
  "functional": "PBE-GGA",
  "state": "optimized geometry",
  "cell": [[-2.883, 2.883, 6.847], [2.883, -2.883, 6.847], [2.883, 2.883, -6.847]],
  "species": ["Ba", "Ba", "Sr", "Cd", "Cd"],
  "frac_coords": [[0.250, 0.750, 0.500], [0.750, 0.250, 0.500], [0.000, 0.000, 0.000], [0.399, 0.399, 0.000], [0.601, 0.601, 0.000]],
  "ef_mev_per_atom": -103,
  "sg": "I4/mmm, No. 139",
  "e_above_lowest_polymorph_ev_per_fu": 0.71
}

---

# 2
{
  "formula": "SmTl3Bi2Se6",
  "functional": "PBE-GGA",
  "state": "optimized geometry",
  "cell": [[3.727, -6.454, 0.000], [3.727, 6.454, 0.000], [-2.485, 0.000, 7.683]],
  "species": ["Sm", "Tl", "Tl", "Tl", "Bi", "Bi", "Se", "Se", "Se", "Se", "Se", "Se"],
  "frac_coords": [[0.000, 0.000, 0.000], [0.166, 0.834, 0.500], [0.500, 0.500, 0.500], [0.834, 0.166, 0.500], [0.334, 0.666, 0.000], [0.666, 0.334, 0.000], [0.071, 0.402, 0.213], [0.261, 0.261, 0.788], [0.402, 0.071, 0.213], [0.598, 0.929, 0.787], [0.739, 0.739, 0.212], [0.929, 0.598, 0.787]],
  "sg": "C2/m, No. 12"
}

---

# 3
{
  "formula": "CdPRu3",
  "functional": "PBE-GGA",
  "state": "optimized geometry",
  "cell": [[4.887, 0.000, 0.000], [0.000, 4.887, 0.000], [0.000, 0.000, 4.887]],
  "species": ["Cd", "P", "Ru", "Ru", "Ru"],
  "frac_coords": [[0.000, 0.000, 0.000], [0.500, 0.500, 0.500], [0.000, 0.000, 0.500], [0.000, 0.500, 0.000], [0.500, 0.000, 0.000]],
  "ef_mev_per_atom": 2486,
  "sg": "Pm-3m, No. 221",
  "e_above_lowest_polymorph_ev_per_fu": 11.20
}

---

# 4
{
  "formula": "CuTcSn4",
  "functional": "PBE-GGA",
  "state": "optimized geometry",
  "cell": [[4.535, -4.540, 0.000], [4.535, 4.540, 0.000], [-4.486, 0.000, 6.516]],
  "species": ["Cu", "Cu", "Tc", "Tc", "Sn", "Sn", "Sn", "Sn", "Sn", "Sn", "Sn", "Sn"],
  "frac_coords": [[0.124, 0.876, 0.750], [0.876, 0.124, 0.250], [0.377, 0.623, 0.250], [0.623, 0.377, 0.750], [0.000, 0.250, 0.000], [0.000, 0.750, 0.000], [0.248, 0.500, 0.500], [0.250, 0.000, 0.500], [0.500, 0.248, 0.000], [0.500, 0.752, 0.000], [0.750, 0.000, 0.500], [0.752, 0.500, 0.500]],
  "ef_mev_per_atom": 67,
  "sg": "C2/c, No. 15",
  "e_above_lowest_polymorph_ev_per_fu": 0.44
}

---

# 5
{
  "formula": "TeAs2Au2",
  "functional": "PBE-GGA",
  "state": "optimized geometry",
  "cell": [[-2.138, 2.138, 6.048], [2.138, -2.138, 6.048], [2.138, 2.138, -6.048]],
  "species": ["Te", "As", "As", "Au", "Au"],
  "frac_coords": [[0.000, 0.000, 0.000], [0.250, 0.750, 0.500], [0.750, 0.250, 0.500], [0.387, 0.387, 0.000], [0.613, 0.613, 0.000]],
  "sg": "I4/mmm, No. 139",
  "e_above_lowest_polymorph_ev_per_fu": 0.23
}

---

# 6
{
  "formula": "La2VGeC",
  "functional": "PBE-GGA",
  "state": "optimized geometry",
  "cell": [[5.488, 0.000, 0.000], [0.000, 5.488, 0.000], [0.000, 0.000, 3.844]],
  "species": ["La", "La", "V", "Ge", "C"],
  "frac_coords": [[0.000, 0.500, 0.000], [0.500, 0.000, 0.000], [0.000, 0.000, 0.000], [0.500, 0.500, 0.500], [0.000, 0.000, 0.500]],
  "ef_mev_per_atom": 376,
  "sg": "P4/mmm, No. 123"
}

---

# 7
{
  "formula": "Ir4Rh",
  "functional": "PBE-GGA",
  "state": "optimized geometry",
  "cell": [[-2.842, 2.842, 2.842], [2.842, -2.842, 2.842], [2.842, 2.842, -2.842]],
  "species": ["Ir", "Ir", "Ir", "Ir", "Rh"],
  "frac_coords": [[0.000, 0.000, 0.500], [0.000, 0.500, 0.000], [0.500, 0.000, 0.000], [0.500, 0.500, 0.500], [0.000, 0.000, 0.000]],
  "ef_mev_per_atom": 1324,
  "sg": "Im-3m, No. 229",
  "e_above_lowest_polymorph_ev_per_fu": 6.68
}

---

# 8
{
  "formula": "Pr3AlSn2Pd9",
  "functional": "PBE-GGA",
  "state": "optimized geometry",
  "cell": [[6.817, 0.000, 0.000], [-3.409, 5.904, 0.000], [0.000, 0.000, 8.906]],
  "species": ["Pr", "Pr", "Pr", "Al", "Sn", "Sn", "Pd", "Pd", "Pd", "Pd", "Pd", "Pd", "Pd", "Pd", "Pd"],
  "frac_coords": [[0.000, 0.000, 0.000], [0.333, 0.667, 0.727], [0.667, 0.333, 0.273], [0.000, 0.000, 0.500], [0.333, 0.667, 0.202], [0.667, 0.333, 0.798], [0.000, 0.500, 0.000], [0.131, 0.263, 0.285], [0.131, 0.869, 0.285], [0.263, 0.131, 0.715], [0.500, 0.000, 0.000], [0.500, 0.500, 0.000], [0.737, 0.869, 0.285], [0.869, 0.131, 0.715], [0.869, 0.737, 0.715]],
  "ef_mev_per_atom": -476,
  "sg": "P-3m1, No. 164"
}

---

# 9
{
  "formula": "LiCe3O6",
  "functional": "PBE-GGA",
  "state": "optimized geometry",
  "cell": [[4.565, -5.716, 0.000], [4.565, 5.716, 0.000], [0.000, 0.000, 5.523]],
  "species": ["Li", "Li", "Ce", "Ce", "Ce", "Ce", "Ce", "Ce", "O", "O", "O", "O", "O", "O", "O", "O", "O", "O", "O", "O"],
  "frac_coords": [[0.190, 0.810, 0.500], [0.810, 0.190, 0.000], [0.076, 0.304, 0.458], [0.304, 0.076, 0.958], [0.391, 0.609, 0.909], [0.609, 0.391, 0.409], [0.696, 0.924, 0.458], [0.924, 0.696, 0.958], [0.043, 0.957, 0.725], [0.111, 0.568, 0.695], [0.218, 0.782, 0.133], [0.321, 0.360, 0.183], [0.360, 0.321, 0.683], [0.432, 0.889, 0.695], [0.568, 0.111, 0.195], [0.640, 0.679, 0.183], [0.679, 0.640, 0.683], [0.782, 0.218, 0.633], [0.889, 0.432, 0.195], [0.957, 0.043, 0.225]],
  "sg": "Cmc2_1, No. 36"
}

---

# 10
{
  "formula": "LiW3Au",
  "functional": "PBE-GGA",
  "state": "optimized geometry",
  "cell": [[4.245, 0.000, 0.000], [0.000, 4.245, 0.000], [0.000, 0.000, 4.245]],
  "species": ["Li", "W", "W", "W", "Au"],
  "frac_coords": [[0.000, 0.000, 0.000], [0.000, 0.000, 0.500], [0.000, 0.500, 0.000], [0.500, 0.000, 0.000], [0.500, 0.500, 0.500]],
  "ef_mev_per_atom": 1365,
  "sg": "Pm-3m, No. 221",
  "e_above_lowest_polymorph_ev_per_fu": 0.00
}

---

# 11
{
  "formula": "V2S5",
  "functional": "PBE-GGA",
  "state": "optimized geometry",
  "cell": [[3.729, 0.000, 0.000], [1.847, 7.159, 0.000], [1.853, 0.819, 7.178]],
  "species": ["V", "V", "S", "S", "S", "S", "S"],
  "frac_coords": [[0.000, 0.000, 0.000], [0.459, 0.263, 0.820], [0.422, 0.541, 0.617], [0.599, 0.296, 0.505], [0.611, 0.933, 0.842], [0.851, 0.321, 0.981], [0.916, 0.895, 0.275]],
  "sg": "P1, No. 1",
  "e_above_lowest_polymorph_ev_per_fu": 0.00
}

---

# 12
{
  "formula": "LiZn10Cu2",
  "functional": "PBE-GGA",
  "state": "optimized geometry",
  "cell": [[4.390, -5.173, 0.000], [4.390, 5.173, 0.000], [0.000, 0.000, 8.628]],
  "species": ["Li", "Li", "Zn", "Zn", "Zn", "Zn", "Zn", "Zn", "Zn", "Zn", "Zn", "Zn", "Zn", "Zn", "Zn", "Zn", "Zn", "Zn", "Zn", "Zn", "Zn", "Zn", "Cu", "Cu", "Cu", "Cu"],
  "frac_coords": [[0.134, 0.866, 0.750], [0.866, 0.134, 0.250], [0.141, 0.398, 0.750], [0.143, 0.857, 0.093], [0.143, 0.857, 0.407], [0.219, 0.473, 0.250], [0.229, 0.229, 0.000], [0.229, 0.229, 0.500], [0.375, 0.625, 0.544], [0.375, 0.625, 0.956], [0.398, 0.141, 0.250], [0.473, 0.219, 0.750], [0.527, 0.781, 0.250], [0.602, 0.859, 0.750], [0.625, 0.375, 0.044], [0.625, 0.375, 0.456], [0.771, 0.771, 0.000], [0.771, 0.771, 0.500], [0.781, 0.527, 0.750], [0.857, 0.143, 0.593], [0.857, 0.143, 0.907], [0.859, 0.602, 0.250], [0.000, 0.500, 0.000], [0.000, 0.500, 0.500], [0.500, 0.000, 0.000], [0.500, 0.000, 0.500]],
  "ef_mev_per_atom": -69,
  "sg": "Cmcm, No. 63",
  "e_above_lowest_polymorph_ev_per_fu": 0.00
}

---

# 13
{
  "formula": "Sm7FeBr12",
  "functional": "PBE-GGA",
  "state": "optimized geometry",
  "cell": [[7.525, 4.344, 3.545], [-7.525, 4.344, 3.545], [0.000, -8.689, 3.545]],
  "species": ["Sm", "Sm", "Sm", "Sm", "Sm", "Sm", "Sm", "Fe", "Br", "Br", "Br", "Br", "Br", "Br", "Br", "Br", "Br", "Br", "Br", "Br"],
  "frac_coords": [[0.000, 0.000, 0.000], [0.197, 0.481, 0.401], [0.401, 0.197, 0.481], [0.481, 0.401, 0.197], [0.519, 0.599, 0.803], [0.599, 0.803, 0.519], [0.803, 0.519, 0.599], [0.500, 0.500, 0.500], [0.039, 0.119, 0.334], [0.119, 0.334, 0.039], [0.180, 0.573, 0.721], [0.279, 0.820, 0.427], [0.334, 0.039, 0.119], [0.427, 0.279, 0.820], [0.573, 0.721, 0.180], [0.666, 0.961, 0.881], [0.721, 0.180, 0.573], [0.820, 0.427, 0.279], [0.881, 0.666, 0.961], [0.961, 0.881, 0.666]],
  "sg": "R-3, No. 148"
}

---

# 14
{
  "formula": "KSn2P2",
  "functional": "PBE-GGA",
  "state": "optimized geometry",
  "cell": [[-2.569, 2.569, 4.906], [2.569, -2.569, 4.906], [2.569, 2.569, -4.906]],
  "species": ["K", "Sn", "Sn", "P", "P"],
  "frac_coords": [[0.000, 0.000, 0.000], [0.344, 0.344, 0.000], [0.656, 0.656, 0.000], [0.250, 0.750, 0.500], [0.750, 0.250, 0.500]],
  "ef_mev_per_atom": -119,
  "sg": "I4/mmm, No. 139"
}

---

# 15
{
  "formula": "SrNi2Rh",
  "functional": "PBE-GGA",
  "state": "optimized geometry",
  "cell": [[2.955, -3.688, 0.000], [2.955, 3.688, 0.000], [0.000, 0.000, 2.942]],
  "species": ["Sr", "Ni", "Ni", "Rh"],
  "frac_coords": [[0.000, 0.000, 0.000], [0.000, 0.500, 0.500], [0.500, 0.000, 0.500], [0.500, 0.500, 0.000]],
  "ef_mev_per_atom": 352,
  "sg": "Cmmm, No. 65",
  "e_above_lowest_polymorph_ev_per_fu": 1.85
}

---

# 16
{
  "formula": "Nd2AlIn",
  "functional": "PBE-GGA",
  "state": "optimized geometry",
  "cell": [[1.903, 1.099, 9.567], [-1.903, 1.099, 9.567], [0.000, -2.197, 9.567]],
  "species": ["Nd", "Nd", "Al", "In"],
  "frac_coords": [[0.246, 0.246, 0.246], [0.754, 0.754, 0.754], [0.500, 0.500, 0.500], [0.000, 0.000, 0.000]],
  "ef_mev_per_atom": -211,
  "sg": "R-3m, No. 166"
}

---

# 17
{
  "formula": "NdMgGe2Ru",
  "functional": "PBE-GGA",
  "state": "optimized geometry",
  "cell": [[-2.060, 2.060, 5.716], [2.060, -2.060, 5.716], [2.060, 2.060, -5.716]],
  "species": ["Nd", "Mg", "Ge", "Ge", "Ru"],
  "frac_coords": [[0.000, 0.000, 0.000], [0.750, 0.250, 0.500], [0.388, 0.388, 0.000], [0.612, 0.612, 0.000], [0.250, 0.750, 0.500]],
  "ef_mev_per_atom": -514,
  "sg": "I-4m2, No. 119"
}

---

# 18
{
  "formula": "ZnWN3",
  "functional": "PBE-GGA",
  "state": "optimized geometry",
  "cell": [[3.948, 0.000, 0.000], [0.000, 3.948, 0.000], [0.000, 0.000, 3.948]],
  "species": ["Zn", "W", "N", "N", "N"],
  "frac_coords": [[0.000, 0.000, 0.000], [0.500, 0.500, 0.500], [0.000, 0.500, 0.500], [0.500, 0.000, 0.500], [0.500, 0.500, 0.000]],
  "sg": "Pm-3m, No. 221"
}

---

# 19
{
  "formula": "PmMgCuAu",
  "functional": "PBE-GGA",
  "state": "optimized geometry",
  "cell": [[0.000, 3.469, 3.469], [3.469, 0.000, 3.469], [3.469, 3.469, 0.000]],
  "species": ["Pm", "Mg", "Cu", "Au"],
  "frac_coords": [[0.000, 0.000, 0.000], [0.500, 0.500, 0.500], [0.750, 0.750, 0.750], [0.250, 0.250, 0.250]],
  "ef_mev_per_atom": -457,
  "sg": "F-43m, No. 216"
}

---

# 20
{
  "formula": "YMn2Tc",
  "functional": "PBE-GGA",
  "state": "optimized geometry",
  "cell": [[2.925, 0.000, 0.000], [0.000, 4.166, 0.000], [-1.424, 0.000, 5.687]],
  "species": ["Y", "Mn", "Mn", "Tc"],
  "frac_coords": [[0.000, 0.000, 0.000], [0.300, 0.500, 0.695], [0.700, 0.500, 0.305], [0.500, 0.000, 0.500]],
  "ef_mev_per_atom": 324,
  "sg": "P2/m, No. 10",
  "e_above_lowest_polymorph_ev_per_fu": 0.53
}

---

| no. | E_tot (eV per cell) | size of the total moment (μB per cell) |
| --- | --- | --- |
| 1 | -7.87 | 0.00 |
| 2 | -49.62 | 0.00 |
| 3 | -21.72 | 6.53 |
| 4 | -60.15 | 0.00 |
| 5 | -17.61 | 0.00 |
| 6 | -30.93 | 0.00 |
| 7 | -36.18 | 2.12 |
| 8 | -79.97 | 0.00 |
| 9 | -162.92 | 2.28 |
| 10 | -37.23 | 0.00 |
| 11 | -42.49 | 0.48 |
| 12 | -47.50 | 0.00 |
| 13 | -92.70 | 1.02 |
| 14 | -20.52 | 0.00 |
| 15 | -19.19 | 0.00 |
| 16 | -16.86 | 0.00 |
| 17 | -27.44 | 0.00 |
| 18 | -36.11 | 0.00 |
| 19 | -15.55 | 0.00 |
| 20 | -33.87 | 5.39 |